No. 1
Entry from Alexandria via LeMat-Bulk: an optimized crystal structure of LaCO4 (PBE).

Cell and atoms, written as POSCAR:
```
LaCO4
1.0
-4.722 1.575 0.995
-2.726 -6.800 -2.173
0.713 -2.764 7.753
O La C
16 4 4
Direct
0.750 0.206 0.189
0.472 0.144 0.877
0.528 0.356 0.377
0.028 0.644 0.623
0.250 0.458 0.091
0.250 0.294 0.689
0.750 0.542 0.909
0.750 0.706 0.311
0.028 0.144 0.877
0.472 0.644 0.623
0.972 0.356 0.377
0.250 0.794 0.811
0.972 0.856 0.123
0.750 0.042 0.591
0.528 0.856 0.123
0.250 0.958 0.409
0.750 0.353 0.676
0.250 0.647 0.324
0.250 0.147 0.176
0.750 0.853 0.824
0.250 0.192 0.812
0.750 0.808 0.188
0.750 0.308 0.312
0.250 0.692 0.688
```

Results
Its uncorrected formation energy is -2.033 eV/atom. The magnetization comes out at 1.00 μB per formula unit. The calculation puts the excess energy over the best structure of this formula in the dataset at 0.005 eV/atom. Its uncorrected energy is -184.73 eV/cell. The space-group type is Pnma (62). The density of states at the Fermi level is 2.037 states/eV/f.u.



No. 2
Entry from Alexandria via LeMat-Bulk: an optimized crystal structure of TbCe2Co (PBE).

Cell and atoms, written as POSCAR:
```
TbCe2Co
1.0
3.570 0.003 0.000
-1.780 5.682 0.000
0.000 0.000 9.537
Co Tb Ce
2 2 4
Direct
0.804 0.609 0.750
0.196 0.391 0.250
0.914 0.828 0.250
0.086 0.172 0.750
0.640 0.280 0.437
0.360 0.720 0.563
0.640 0.280 0.063
0.360 0.720 0.937
```

Results
The magnetization comes out at 0.00 μB per formula unit. The calculation puts the excess energy over the best structure of this formula in the dataset at 0.000 eV/atom. Its uncorrected energy is -48.23 eV/cell. The space-group type is P2_1/m (11). The density of states at the Fermi level is 7.929 states/eV/f.u. The energy of formation comes out at -0.128 eV/atom.



No. 3
Entry from Alexandria via LeMat-Bulk: an optimized crystal structure of La8Ni3IrCl4 (PBE).

Cell and atoms, written as POSCAR:
```
La8Ni3IrCl4
1.0
-8.152 -0.467 -1.355
0.413 -8.950 0.602
2.886 4.401 6.401
La Cl Ni Ir
8 4 3 1
Direct
0.266 0.300 0.533
0.735 0.705 0.970
0.235 0.705 0.970
0.734 0.700 0.467
0.765 0.295 0.030
0.235 0.705 0.470
0.765 0.295 0.530
0.265 0.295 0.030
0.500 0.000 0.500
0.500 0.000 0.000
0.000 0.000 0.000
0.000 0.000 0.500
0.000 0.500 0.500
0.500 0.500 0.500
0.500 0.500 0.000
0.000 0.500 0.000
```

Results
Its uncorrected formation energy is -1.070 eV/atom. The magnetization comes out at 0.00 μB per formula unit. Its uncorrected energy is -90.13 eV/cell. The space-group type is C2/m (12). The density of states at the Fermi level is 12.306 states/eV/f.u.



No. 4
Entry from Alexandria via LeMat-Bulk: an optimized crystal structure of Sr2NdInTe5 (PBE).

Cell and atoms, written as POSCAR:
```
Sr2NdInTe5
1.0
4.517 0.000 0.000
-2.258 10.132 0.000
0.000 0.000 13.970
Te Nd In Sr
10 2 2 4
Direct
0.312 0.624 0.357
0.953 0.906 0.564
0.710 0.419 0.176
0.047 0.094 0.064
0.362 0.724 0.003
0.638 0.276 0.503
0.496 0.992 0.765
0.688 0.376 0.857
0.504 0.008 0.265
0.290 0.581 0.676
0.791 0.581 0.520
0.209 0.419 0.020
0.556 0.113 0.941
0.444 0.887 0.441
0.873 0.745 0.819
0.118 0.235 0.680
0.882 0.765 0.180
0.127 0.255 0.319
```

Results
Its uncorrected formation energy is -1.245 eV/atom. The magnetization comes out at 0.00 μB per formula unit. Its uncorrected energy is -75.57 eV/cell. The space-group type is Cmc2_1 (36).



No. 5
Entry from Alexandria via LeMat-Bulk: an optimized crystal structure of Ni17Mo2 (PBE).

Cell and atoms, written as POSCAR:
```
Ni17Mo2
1.0
6.129 0.031 0.027
0.899 6.063 0.027
0.899 0.780 6.013
Mo Ni
2 17
Direct
0.691 0.691 0.691
0.309 0.309 0.309
0.000 0.000 0.500
0.650 0.159 0.650
0.159 0.650 0.650
0.099 0.099 0.099
0.350 0.350 0.841
0.313 0.687 0.000
0.350 0.841 0.350
0.650 0.650 0.159
0.687 0.313 0.000
0.313 0.000 0.687
0.687 0.000 0.313
0.500 0.000 0.000
0.000 0.500 0.000
0.000 0.313 0.687
0.901 0.901 0.901
0.000 0.687 0.313
0.841 0.350 0.350
```

Results
The magnetization comes out at 5.28 μB per formula unit. Its uncorrected energy is -116.64 eV/cell. The space-group type is R-3m (166). The density of states at the Fermi level is 28.711 states/eV/f.u. The energy of formation comes out at 0.174 eV/atom.



No. 6
Entry from Alexandria via LeMat-Bulk: an optimized crystal structure of La2TlCo (PBE).

Cell and atoms, written as POSCAR:
```
La2TlCo
1.0
3.464 0.029 0.000
-0.031 3.464 0.000
0.000 0.000 8.938
Co Tl La
1 1 2
Direct
0.500 0.500 0.729
0.000 0.000 0.558
0.000 0.000 0.921
0.500 0.500 0.291
```

Results
The magnetization comes out at 0.78 μB per formula unit. Its uncorrected energy is -18.99 eV/cell. The space-group type is P4mm (99). The density of states at the Fermi level is 4.649 states/eV/f.u. The energy of formation comes out at 0.084 eV/atom.



No. 7
Entry from Alexandria via LeMat-Bulk: an optimized crystal structure of TbNdSe3 (PBE).

Cell and atoms, written as POSCAR:
```
TbNdSe3
1.0
-3.053 -2.731 0.552
1.105 0.405 8.109
-5.553 6.160 -0.232
Se Nd Tb
6 2 2
Direct
0.250 0.897 0.680
0.750 0.103 0.320
0.250 0.376 0.611
0.750 0.317 0.977
0.250 0.683 0.023
0.750 0.624 0.389
0.750 0.620 0.770
0.250 0.380 0.230
0.250 0.855 0.323
0.750 0.145 0.677
```

Results
Its uncorrected formation energy is -1.873 eV/atom. The magnetization comes out at 0.00 μB per formula unit. The calculation puts the excess energy over the best structure of this formula in the dataset at 0.023 eV/atom. Its uncorrected energy is -58.43 eV/cell. The space-group type is P2_1/m (11).



No. 8
Entry from Alexandria via LeMat-Bulk: an optimized crystal structure of BaP2Ir (PBE).

Cell and atoms, written as POSCAR:
```
BaP2Ir
1.0
6.679 -0.011 -0.006
5.498 3.792 -0.006
5.498 1.708 3.386
Ba Ir P
1 1 2
Direct
0.493 0.493 0.493
0.673 0.673 0.673
0.047 0.047 0.047
0.287 0.287 0.287
```

Results
The magnetization comes out at 0.00 μB per formula unit. Its uncorrected energy is -24.38 eV/cell. The space-group type is R3m (160). The density of states at the Fermi level is 1.828 states/eV/f.u. The energy of formation comes out at -0.693 eV/atom.



No. 9
Entry from Alexandria via LeMat-Bulk: an optimized crystal structure of RbUTlCl6 (PBE).

Cell and atoms, written as POSCAR:
```
RbUTlCl6
1.0
-6.861 3.758 0.674
3.637 -2.711 6.408
6.386 11.439 1.215
Cl Rb U Tl
12 2 2 2
Direct
0.664 0.607 0.135
0.943 0.607 0.365
0.336 0.943 0.635
0.336 0.393 0.865
0.057 0.393 0.635
0.393 0.057 0.135
0.393 0.336 0.365
0.057 0.664 0.865
0.664 0.057 0.365
0.607 0.943 0.865
0.943 0.336 0.135
0.607 0.664 0.635
0.000 0.000 0.500
0.000 0.000 0.000
0.333 0.667 0.750
0.667 0.333 0.250
0.667 0.333 0.750
0.333 0.667 0.250
```

Results
Its uncorrected formation energy is -1.677 eV/atom. The magnetization comes out at 2.00 μB per formula unit. Its uncorrected energy is -81.59 eV/cell. The space-group type is P-31c (163). The density of states at the Fermi level is 7.289 states/eV/f.u.



No. 10
Entry from Alexandria via LeMat-Bulk: an optimized crystal structure of BaIr2Cl (PBE).

Cell and atoms, written as POSCAR:
```
BaIr2Cl
1.0
4.295 -0.013 0.010
2.430 3.541 0.010
2.099 1.102 8.247
Ir Cl Ba
2 1 1
Direct
0.043 0.043 0.835
0.727 0.727 0.835
0.239 0.239 0.307
0.490 0.490 0.523
```

Results
Its uncorrected formation energy is -0.325 eV/atom. The magnetization comes out at 0.00 μB per formula unit. The calculation puts the excess energy over the best structure of this formula in the dataset at 0.000 eV/atom. Its uncorrected energy is -22.79 eV/cell. The space-group type is Cm (8). The density of states at the Fermi level is 2.400 states/eV/f.u.



No. 11
Entry from Alexandria via LeMat-Bulk: an optimized crystal structure of H2PdN (PBE).

Cell and atoms, written as POSCAR:
```
H2PdN
1.0
5.038 0.000 0.000
0.000 5.038 0.000
2.519 2.519 2.296
H Pd N
4 2 2
Direct
0.875 0.625 0.750
0.375 0.625 0.750
0.375 0.625 0.250
0.375 0.125 0.250
0.000 0.000 0.000
0.750 0.250 0.500
0.500 0.500 0.000
0.250 0.750 0.500
```

Results
The magnetization comes out at 0.00 μB per formula unit. The calculation puts the excess energy over the best structure of this formula in the dataset at 0.000 eV/atom. Its uncorrected energy is -35.33 eV/cell. The space-group type is I4_1/amd (141). The density of states at the Fermi level is 2.112 states/eV/f.u.



No. 12
Entry from Alexandria via LeMat-Bulk: an optimized crystal structure of ScAlCl2 (PBE).

Cell and atoms, written as POSCAR:
```
ScAlCl2
1.0
4.420 0.000 0.000
0.000 3.518 0.000
0.000 -0.054 5.479
Al Sc Cl
1 1 2
Direct
0.500 0.750 0.750
0.500 0.250 0.250
0.000 0.042 0.008
0.000 0.458 0.492
```

Results
Its uncorrected formation energy is -0.790 eV/atom. The magnetization comes out at 0.00 μB per formula unit. The calculation puts the excess energy over the best structure of this formula in the dataset at 0.241 eV/atom. Its uncorrected energy is -16.93 eV/cell. The space-group type is P2/m (10). The density of states at the Fermi level is 1.355 states/eV/f.u.